Density functional theory data (PBE) for NaGaCo after structural relaxation. Values from VASP.

## Properties
The value obtained for the spin magnetization is 1.5 μB per cell. For the total energy, the calculation gives -2.740 eV per atom.

The structure in Quantum ESPRESSO input format:
```
&SYSTEM
  ibrav = 0, nat = 3, ntyp = 3
/
ATOMIC_SPECIES
Na 22.99 Na.upf
Ga 69.72 Ga.upf
Co 58.93 Co.upf
CELL_PARAMETERS angstrom
0.000 3.144 3.144
3.144 0.000 3.144
3.144 3.144 0.000
ATOMIC_POSITIONS crystal
Na 0.000 0.000 0.000
Ga 0.250 0.250 0.250
Co 0.750 0.750 0.750
```